[1]
Computed, not measured: a relaxed Nb4Zn crystal at the PBE level of DFT.

a b c (Å): 4.700 4.700 4.700
angles (deg): 90.00 90.00 90.00
Space group Pm-3m (No. 221)
Asymmetric unit:
1 Nb 0.000 0.000 0.000 (multiplicity 1)
2 Nb 0.000 0.500 0.500 (multiplicity 3)
3 Zn 0.500 0.500 0.500 (multiplicity 1)

## Properties
Formation enthalpy at 0 K: 1.23 eV per atom
Total magnetization: 0.0 μB/f.u.
Fermi-level density of states: 0.970 states/eV/atom
Energy above the lowest structure with this stoichiometry: 6.04 eV per formula unit

***

[2]
Computed, not measured: a relaxed PmScGe crystal at the PBE level of DFT.

a b c (Å): 3.778 5.431 14.707
angles (deg): 90.00 90.00 90.00
Space group P2_12_12_1 (No. 19)
Asymmetric unit:
1 Pm 0.001 0.133 0.321 (multiplicity 4)
2 Sc 0.001 0.876 0.596 (multiplicity 4)
3 Ge 0.001 0.403 0.521 (multiplicity 4)

## Properties
Formation enthalpy at 0 K: -0.48 eV per atom
Total magnetization: 0.0 μB/f.u.
Fermi-level density of states: 1.044 states/eV/atom
Energy above the lowest structure with this stoichiometry: 0.66 eV per formula unit

***

[3]
Computed, not measured: a relaxed MgScCd2H crystal at the PBE level of DFT.

a b c (Å): 4.836 4.836 3.862
angles (deg): 90.00 90.00 90.00
Space group P4/mmm (No. 123)
Asymmetric unit:
1 Mg 0.000 0.000 0.000 (multiplicity 1)
2 Sc 0.500 0.500 0.000 (multiplicity 1)
3 Cd 0.000 0.500 0.500 (multiplicity 2)
4 H 0.500 0.500 0.500 (multiplicity 1)

## Properties
Total magnetization: 0.0 μB/f.u.
Fermi-level density of states: 0.593 states/eV/atom
Energy: -13.8 eV for the cell shown

***

[4]
Computed, not measured: a relaxed Ba3Ag2Bi3 crystal at the PBE level of DFT.

a b c (Å): 5.078 12.967 17.289
angles (deg): 90.00 90.00 90.00
Space group Cmcm (No. 63)
Asymmetric unit:
1 Ba 0.000 0.086 0.103 (multiplicity 8)
2 Ba 0.000 0.356 0.250 (multiplicity 4)
3 Ag 0.000 0.219 0.600 (multiplicity 8)
4 Bi 0.000 0.343 0.750 (multiplicity 4)
5 Bi 0.000 0.371 0.042 (multiplicity 8)

## Properties
Formation enthalpy at 0 K: -0.65 eV per atom
Total magnetization: 0.0 μB/f.u.
Fermi-level density of states: 0.420 states/eV/atom

***

[5]
Computed, not measured: a relaxed Tb2TmZn3 crystal at the PBE level of DFT.

a b c (Å): 3.566 3.566 10.677
angles (deg): 90.00 90.00 90.00
Space group P4/mmm (No. 123)
Asymmetric unit:
1 Tb 0.000 0.000 0.168 (multiplicity 2)
2 Tm 0.000 0.000 0.500 (multiplicity 1)
3 Zn 0.500 0.500 0.000 (multiplicity 1)
4 Zn 0.500 0.500 0.339 (multiplicity 2)

## Properties
Formation enthalpy at 0 K: -0.34 eV per atom
Total magnetization: 0.0 μB/f.u.
Fermi-level density of states: 1.148 states/eV/atom

***

[6]
Computed, not measured: a relaxed V3Ga4Mo crystal at the PBE level of DFT.

a b c (Å): 7.940 5.435 5.403
angles (deg): 90.00 90.00 90.00
Space group Pmna (No. 53)
Asymmetric unit:
1 V 0.000 0.000 0.000 (multiplicity 2)
2 V 0.250 0.245 0.250 (multiplicity 4)
3 Ga 0.000 0.000 0.500 (multiplicity 2)
4 Ga 0.000 0.500 0.500 (multiplicity 2)
5 Ga 0.250 0.249 0.750 (multiplicity 4)
6 Mo 0.000 0.500 0.000 (multiplicity 2)

## Properties
Formation enthalpy at 0 K: -0.10 eV per atom
Total magnetization: 0.0 μB/f.u.
Fermi-level density of states: 0.750 states/eV/atom

***

[7]
Computed, not measured: a relaxed HPdF2 crystal at the PBE level of DFT.

a b c (Å): 4.616 4.616 7.202
angles (deg): 90.00 90.00 90.00
Space group I-42d (No. 122)
Asymmetric unit:
1 H 0.000 0.000 0.000 (multiplicity 4)
2 Pd 0.000 0.000 0.500 (multiplicity 4)
3 F 0.098 0.250 0.125 (multiplicity 8)

## Properties
Total magnetization: 1.0 μB/f.u.
Fermi-level density of states: 0.137 states/eV/atom
Energy above the lowest structure with this stoichiometry: 1.39 eV per formula unit

***

[8]
Computed, not measured: a relaxed KRbCa2 crystal at the PBE level of DFT.

a b c (Å): 11.063 11.063 7.911
angles (deg): 90.00 90.00 90.00
Space group I-42d (No. 122)
Asymmetric unit:
1 K 0.000 0.000 0.000 (multiplicity 4)
2 Rb 0.000 0.000 0.500 (multiplicity 4)
3 Ca 0.241 0.750 0.125 (multiplicity 8)

## Properties
Formation enthalpy at 0 K: 0.38 eV per atom
Total magnetization: 0.0 μB/f.u.
Fermi-level density of states: 1.022 states/eV/atom
Energy above the lowest structure with this stoichiometry: 0.41 eV per formula unit